Compound: Pr2Tm9Sc
Source: the Alexandria database
Functional: GGA-PBE
Structure: optimized geometry

symmetry = P4/mmm
ΔE_f = 38 meV/atom
M_tot = 0.00 μB/cell

Unit cell a=4.9667 b=4.9667 c=14.8710 alpha=90.00 beta=90.00 gamma=90.00
Element x y z (fractional)
1 Pr 0.0000 0.0000 0.1679
2 Pr 0.0000 0.0000 0.8321
3 Tm 0.0000 0.5000 0.0000
4 Tm 0.0000 0.5000 0.3403
5 Tm 0.0000 0.5000 0.6597
6 Tm 0.5000 0.0000 0.0000
7 Tm 0.5000 0.0000 0.3403
8 Tm 0.5000 0.0000 0.6597
9 Tm 0.5000 0.5000 0.1705
10 Tm 0.5000 0.5000 0.5000
11 Tm 0.5000 0.5000 0.8295
12 Sc 0.0000 0.0000 0.5000